A geometry-optimized Si2OsBr structure. Source: Alexandria via LeMat-Bulk, functional GGA-PBEsol.

```
Si2OsBr
1.0
3.9185 0.0000 0.0000
0.0000 3.7418 0.0000
-0.1323 0.0000 5.4896
Si Os Br
2 1 1
direct
0.0000 0.0000 0.0000
0.3896 0.5000 0.0061
0.5091 0.0000 0.7658
0.6298 0.5000 0.4394
```

Summary:
As for the crystal system: monoclinic. Its energy relative to the elements, uncorrected is 0.316 eV/atom. The energy above the most stable polymorph in this dataset comes out at 185 meV/atom. Its total energy is -6.08 eV/atom.